1.
TaNbTl3 | Alexandria | meta-GGA SCAN | single point on PBEsol structure; N(E_F) = 2.6 states/eV/f.u.; calculated density = 9.990 g cm⁻³; calculated volume = 147.4 Å³ per cell; total energy = -61.80 eV/atom
1.0
5.2828 0.0000 0.0000
0.0000 5.2828 0.0000
0.0000 0.0000 5.2828
Tl Nb Ta
3 1 1
Direct
0.0000 0.5000 0.0000
0.0000 0.0000 0.5000
0.5000 0.0000 0.0000
0.0000 0.0000 0.0000
0.5000 0.5000 0.5000

2.
OsRu | Alexandria | meta-GGA SCAN | single point on PBEsol structure; N(E_F) = 1.4 states/eV/f.u.; calculated density = 17.773 g cm⁻³; calculated volume = 81.6 Å³ per cell; total energy = -53.37 eV/atom
1.0
-0.5077 1.4407 2.2370
-3.9878 0.7568 -3.0325
-1.5271 -5.3367 3.0904
Os Ru
3 3
Direct
0.9997 0.9993 0.9989
0.3895 0.7790 0.2786
0.3328 0.6657 0.6668
0.6672 0.3344 0.3333
0.0554 0.1108 0.6105
0.7221 0.4441 0.9453